[1]
This record from the Alexandria database describes an optimized crystal structure of CsCrBiBr6. The functional is PBE.

The space group is P312 (No. 149) and the conventional cell measures 7.3156, 7.3156 and 8.0485 Å, with angles of 90.00, 90.00 and 120.00 degrees. Symmetry generates all atoms from Cs at (0.0000, 0.0000, 0.0000), Cr at (0.3333, 0.6667, 0.5000), Bi at (0.6667, 0.3333, 0.5000) and Br at (0.0237, 0.3895, 0.6962).

The calculated volume comes out at 41.4 Å³/atom. As for the total magnetization: 0.44 μB/atom. The total energy comes out at -3.65 eV per atom. For the density of states at the Fermi level, the calculation gives 6.121 states/eV/cell. For the uncorrected formation energy, the calculation gives -944 meV per atom.

[2]
This record from the Alexandria database describes an optimized crystal structure of CrCuBiBr2. The functional is PBE.

The space group is P4/mmm (No. 123) and the conventional cell measures 5.877, 5.877 and 5.011 Å, with angles of 90.00, 90.00 and 90.00 degrees. Symmetry generates all atoms from Cr at (0.000, 0.000, 0.000), Cu at (0.500, 0.500, 0.000), Bi at (0.500, 0.500, 0.500) and Br at (0.000, 0.500, 0.500).

The calculated volume comes out at 34.6 Å³/atom. As for the total magnetization: 1.08 μB/atom. The total energy comes out at -3.63 eV per atom. For the density of states at the Fermi level, the calculation gives 2.803 states/eV/cell. For the uncorrected formation energy, the calculation gives 564 meV per atom.

[3]
This record from the Alexandria database describes an optimized crystal structure of CrHg2BiBr. The functional is PBE.

The space group is P4/mmm (No. 123) and the conventional cell measures 5.818, 5.818 and 5.480 Å, with angles of 90.00, 90.00 and 90.00 degrees. Symmetry generates all atoms from Cr at (0.000, 0.000, 0.000), Hg at (0.000, 0.500, 0.500), Bi at (0.000, 0.000, 0.500) and Br at (0.500, 0.500, 0.000).

The calculated volume comes out at 37.1 Å³/atom. As for the total magnetization: 0.93 μB/atom. The total energy comes out at -2.81 eV per atom. For the density of states at the Fermi level, the calculation gives 1.794 states/eV/cell. For the uncorrected formation energy, the calculation gives 344 meV per atom.

[4]
This record from the Alexandria database describes an optimized crystal structure of Cr2InBiBr. The functional is PBE.

The space group is P4/mmm (No. 123) and the conventional cell measures 5.427, 5.427 and 6.101 Å, with angles of 90.00, 90.00 and 90.00 degrees. Symmetry generates all atoms from Cr at (0.000, 0.500, 0.000), In at (0.000, 0.000, 0.500), Bi at (0.000, 0.000, 0.000) and Br at (0.500, 0.500, 0.500).

The calculated volume comes out at 35.9 Å³/atom. As for the total magnetization: 1.92 μB/atom. The total energy comes out at -4.80 eV per atom. For the density of states at the Fermi level, the calculation gives 2.994 states/eV/cell. For the uncorrected formation energy, the calculation gives 707 meV per atom.

[5]
This record from the Alexandria database describes an optimized crystal structure of CrBiIrBr2. The functional is PBE.

The space group is P4/mmm (No. 123) and the conventional cell measures 4.882, 4.882 and 4.994 Å, with angles of 90.00, 90.00 and 90.00 degrees. Symmetry generates all atoms from Cr at (0.000, 0.000, 0.000), Bi at (0.500, 0.500, 0.500), Ir at (0.000, 0.000, 0.500) and Br at (0.000, 0.500, 0.000).

The calculated volume comes out at 23.8 Å³/atom. As for the total magnetization: 0.61 μB/atom. The total energy comes out at -4.53 eV per atom. For the density of states at the Fermi level, the calculation gives 4.525 states/eV/cell. For the uncorrected formation energy, the calculation gives 611 meV per atom.

[6]
This record from the Alexandria database describes an optimized crystal structure of LiCr2BiBr. The functional is PBE.

The space group is P4/mmm (No. 123) and the conventional cell measures 5.096, 5.096 and 4.588 Å, with angles of 90.00, 90.00 and 90.00 degrees. Symmetry generates all atoms from Li at (0.000, 0.000, 0.000), Cr at (0.000, 0.500, 0.500), Bi at (0.500, 0.500, 0.000) and Br at (0.000, 0.000, 0.500).

The calculated volume comes out at 23.8 Å³/atom. As for the total magnetization: 1.80 μB/atom. The total energy comes out at -4.98 eV per atom. For the density of states at the Fermi level, the calculation gives 1.447 states/eV/cell. For the uncorrected formation energy, the calculation gives 358 meV per atom.

[7]
This record from the Alexandria database describes an optimized crystal structure of MgCrBi2Br. The functional is PBE.

The space group is P4/mmm (No. 123) and the conventional cell measures 5.811, 5.811 and 4.946 Å, with angles of 90.00, 90.00 and 90.00 degrees. Symmetry generates all atoms from Mg at (0.000, 0.000, 0.000), Cr at (0.500, 0.500, 0.000), Bi at (0.000, 0.500, 0.500) and Br at (0.000, 0.000, 0.500).

The calculated volume comes out at 33.4 Å³/atom. As for the total magnetization: 0.85 μB/atom. The total energy comes out at -3.31 eV per atom. For the density of states at the Fermi level, the calculation gives 3.120 states/eV/cell. For the uncorrected formation energy, the calculation gives 821 meV per atom.

[8]
This record from the Alexandria database describes an optimized crystal structure of MnCrBiBr2. The functional is PBE.

The space group is P4/mmm (No. 123) and the conventional cell measures 5.899, 5.899 and 5.477 Å, with angles of 90.00, 90.00 and 90.00 degrees. Symmetry generates all atoms from Mn at (0.000, 0.000, 0.000), Cr at (0.500, 0.500, 0.000), Bi at (0.500, 0.500, 0.500) and Br at (0.000, 0.500, 0.500).

The calculated volume comes out at 38.1 Å³/atom. As for the total magnetization: 2.02 μB/atom. The total energy comes out at -4.44 eV per atom. For the density of states at the Fermi level, the calculation gives 2.075 states/eV/cell. For the uncorrected formation energy, the calculation gives 766 meV per atom.

Which value of total magnetization does entry 3 give? 0.93 μB/atom

The highest total magnetization belongs to which entry? MnCrBiBr2

Among the records above, which one has the highest calculated volume? CsCrBiBr6